An optimized crystal structure of LaPdPtO2, computed with PBE.

Summary:
Formation energy without anion corrections in eV per atom: -0.2754
Total moment in μB per atom: 0.261
Theoretical density in g cm⁻³: 8.061
DFT total energy in eV/atom: -5.49

a b c (Å): 3.996 6.095 3.996
angles (deg): 90.00 90.00 90.00
Last column: magnetic moment on the atom in μB.
Element x y z (fractional)
O (0.000, 0.000, 0.500)  0.18
O (0.500, 0.000, 0.000)  0.58
Pd (0.000, 0.000, 0.000)  0.41
Pt (0.500, 0.500, 0.500)  0.04
La (0.000, 0.500, 0.000)  -0.01

An optimized crystal structure of LaPuPdO6, computed with PBE.

Summary:
Formation energy without anion corrections in eV per atom: -2.1936
Total moment in μB per atom: 0.335
Theoretical density in g cm⁻³: 7.218
DFT total energy in eV/atom: -8.22

a b c (Å): 5.391 5.391 10.700
angles (deg): 90.00 90.00 120.00
Last column: magnetic moment on the atom in μB.
Element x y z (fractional)
La (0.000, 0.000, 0.000)  0.00
La (0.000, 0.000, 0.500)  0.00
Pu (0.667, 0.333, 0.250)  -2.95
Pu (0.333, 0.667, 0.750)  -2.95
Pd (0.333, 0.667, 0.250)  -0.26
Pd (0.667, 0.333, 0.750)  -0.26
O (0.643, 0.646, 0.141)  0.04
O (0.004, 0.357, 0.141)  0.04
O (0.357, 0.004, 0.641)  0.04
O (0.996, 0.643, 0.859)  0.04
O (0.354, 0.357, 0.359)  0.04
O (0.004, 0.646, 0.359)  0.04
O (0.646, 0.004, 0.859)  0.04
O (0.643, 0.996, 0.359)  0.04
O (0.996, 0.354, 0.641)  0.04
O (0.354, 0.996, 0.141)  0.04
O (0.646, 0.643, 0.641)  0.04
O (0.357, 0.354, 0.859)  0.04

An optimized crystal structure of Rb3La2PdO6, computed with PBE.

Summary:
Formation energy without anion corrections in eV per atom: -1.9114
Total moment in μB per atom: 0.090
Theoretical density in g cm⁻³: 5.473
DFT total energy in eV/atom: -5.89

a b c (Å): 6.190 6.190 6.969
angles (deg): 100.00 100.00 117.39
Last column: magnetic moment on the atom in μB.
Element x y z (fractional)
Rb (0.162, 0.838, 0.500)  0.00
Rb (0.838, 0.162, 0.500)  0.00
Rb (0.500, 0.500, 0.500)  0.01
La (0.334, 0.666, 0.000)  0.00
La (0.666, 0.334, 0.000)  0.00
Pd (0.000, 0.000, 0.000)  0.53
O (0.939, 0.640, 0.832)  0.02
O (0.711, 0.711, 0.211)  0.18
O (0.061, 0.360, 0.168)  0.02
O (0.640, 0.939, 0.832)  0.02
O (0.289, 0.289, 0.789)  0.18
O (0.360, 0.061, 0.168)  0.02

An optimized crystal structure of Rb2LaPdO4, computed with PBE.

Summary:
Formation energy without anion corrections in eV per atom: -1.3969
Total moment in μB per atom: 0.030
Theoretical density in g cm⁻³: 2.896
DFT total energy in eV/atom: -5.38

a b c (Å): 6.450 7.926 12.228
angles (deg): 83.84 74.71 65.99
Last column: magnetic moment on the atom in μB.
Element x y z (fractional)
Rb (0.191, 0.000, 0.618)  0.00
Rb (0.809, 0.000, 0.382)  0.00
Rb (0.559, 0.500, 0.882)  0.00
Rb (0.941, 0.500, 0.118)  0.00
La (0.750, 0.500, 0.500)  -0.01
La (0.000, 0.000, 0.000)  -0.01
Pd (0.250, 0.500, 0.500)  -0.08
Pd (0.500, 0.000, 0.000)  -0.08
O (0.367, 0.810, 0.999)  -0.03
O (0.176, 0.190, 0.001)  -0.03
O (0.824, 0.810, 0.001)  -0.03
O (0.634, 0.190, 0.999)  -0.03
O (0.383, 0.690, 0.501)  -0.03
O (0.574, 0.310, 0.499)  -0.03
O (0.926, 0.690, 0.499)  -0.03
O (0.116, 0.310, 0.501)  -0.03

An optimized crystal structure of Rb3La3PdO8, computed with PBE.

Summary:
Formation energy without anion corrections in eV per atom: -2.1466
Total moment in μB per atom: 0.000
Theoretical density in g cm⁻³: 5.071
DFT total energy in eV/atom: -6.32

a b c (Å): 7.217 7.217 7.796
angles (deg): 117.58 90.00 120.00
Element x y z (fractional)
Rb (0.000, 0.000, 0.000)
Rb (0.000, 0.500, 0.000)
Rb (0.500, 0.500, 0.000)
La (0.500, 0.000, 0.500)
La (0.500, 0.500, 0.500)
La (0.000, 0.500, 0.500)
Pd (0.000, 0.000, 0.500)
O (0.274, 0.547, 0.321)
O (0.726, 0.453, 0.679)
O (0.796, 0.593, 0.333)
O (0.204, 0.407, 0.667)
O (0.796, 0.037, 0.334)
O (0.204, 0.963, 0.666)
O (0.241, 0.037, 0.334)
O (0.759, 0.963, 0.666)

An optimized crystal structure of RbLa2PdO5, computed with PBE.

Summary:
Formation energy without anion corrections in eV per atom: -2.1208
Total moment in μB per atom: 0.115
Theoretical density in g cm⁻³: 6.122
DFT total energy in eV/atom: -6.65

a b c (Å): 6.975 6.975 7.867
angles (deg): 116.32 116.32 90.00
Last column: magnetic moment on the atom in μB.
Element x y z (fractional)
Rb (0.250, 0.250, 0.500)  0.00
Rb (0.750, 0.750, 0.500)  0.00
La (0.179, 0.321, 0.000)  0.02
La (0.679, 0.179, 0.000)  0.02
La (0.321, 0.821, 0.000)  0.02
La (0.821, 0.679, 0.000)  0.02
Pd (0.250, 0.750, 0.500)  0.51
Pd (0.750, 0.250, 0.500)  0.51
O (0.991, 0.491, 0.240)  0.10
O (0.750, 0.250, 0.760)  0.10
O (0.009, 0.509, 0.760)  0.10
O (0.250, 0.009, 0.760)  0.10
O (0.509, 0.750, 0.760)  0.10
O (0.750, 0.991, 0.240)  0.10
O (0.491, 0.250, 0.240)  0.10
O (0.250, 0.750, 0.240)  0.10
O (0.500, 0.500, 0.000)  0.00
O (0.000, 0.000, 0.000)  0.00

An optimized crystal structure of Rb2LaPdO, computed with PBE.

Summary:
Formation energy without anion corrections in eV per atom: 0.1415
Total moment in μB per atom: 0.231
Theoretical density in g cm⁻³: 4.687
DFT total energy in eV/atom: -3.26

a b c (Å): 6.157 4.040 6.157
angles (deg): 90.00 90.00 90.00
Last column: magnetic moment on the atom in μB.
Element x y z (fractional)
O (0.000, 0.000, 0.000)  0.04
Rb (0.000, 0.000, 0.500)  0.02
Rb (0.500, 0.000, 0.000)  0.03
Pd (0.000, 0.500, 0.000)  0.01
La (0.500, 0.500, 0.500)  0.36

An optimized crystal structure of LaPd3Rh4O12, computed with PBE.

Summary:
Formation energy without anion corrections in eV per atom: -0.9710
Total moment in μB per atom: 0.000
Theoretical density in g cm⁻³: 7.810
DFT total energy in eV/atom: -6.44

a b c (Å): 6.644 6.644 6.644
angles (deg): 109.47 109.47 109.47
Element x y z (fractional)
La (0.000, 0.000, 0.000)
Pd (0.000, 0.500, 0.500)
Pd (0.500, 0.500, 0.000)
Pd (0.500, 0.000, 0.500)
Rh (0.500, 0.000, 0.000)
Rh (0.500, 0.500, 0.500)
Rh (0.000, 0.500, 0.000)
Rh (0.000, 0.000, 0.500)
O (0.300, 0.828, 0.128)
O (0.700, 0.172, 0.872)
O (0.700, 0.828, 0.529)
O (0.872, 0.700, 0.172)
O (0.828, 0.128, 0.300)
O (0.172, 0.471, 0.300)
O (0.471, 0.300, 0.172)
O (0.172, 0.872, 0.700)
O (0.300, 0.172, 0.471)
O (0.128, 0.300, 0.828)
O (0.828, 0.529, 0.700)
O (0.529, 0.700, 0.828)

An optimized crystal structure of LaScPd2O, computed with PBE.

Summary:
Formation energy without anion corrections in eV per atom: 1.1187
Excess energy over the best structure of this formula in the dataset in meV per atom: 2226.8
Total moment in μB per atom: 0.000
Theoretical density in g cm⁻³: 4.601
DFT total energy in eV/atom: -4.20

a b c (Å): 4.956 6.065 4.956
angles (deg): 90.00 90.00 90.00
Element x y z (fractional)
Sc (0.000, 0.500, 0.000)
O (0.500, 0.500, 0.500)
Pd (0.000, 0.000, 0.500)
Pd (0.500, 0.000, 0.000)
La (0.000, 0.000, 0.000)

An optimized crystal structure of LaScPd2O, computed with PBE.

Summary:
Formation energy without anion corrections in eV per atom: -1.1081
Excess energy over the best structure of this formula in the dataset in meV per atom: 0.0
Total moment in μB per atom: 0.000
Theoretical density in g cm⁻³: 6.534
DFT total energy in eV/atom: -6.43

a b c (Å): 5.110 4.017 5.110
angles (deg): 90.00 90.00 90.00
Element x y z (fractional)
Sc (0.000, 0.000, 0.000)
O (0.000, 0.500, 0.000)
Pd (0.000, 0.000, 0.500)
Pd (0.500, 0.000, 0.000)
La (0.500, 0.500, 0.500)

An optimized crystal structure of LaSc4Pd3O12, computed with PBE.

Summary:
Formation energy without anion corrections in eV per atom: -2.2592
Total moment in μB per atom: 0.133
Theoretical density in g cm⁻³: 5.658
DFT total energy in eV/atom: -7.53

a b c (Å): 6.814 6.814 6.814
angles (deg): 109.47 109.47 109.47
Last column: magnetic moment on the atom in μB.
Element x y z (fractional)
La (0.000, 0.000, 0.000)  0.03
Sc (0.500, 0.000, 0.000)  -0.01
Sc (0.500, 0.500, 0.500)  -0.01
Sc (0.000, 0.500, 0.000)  -0.01
Sc (0.000, 0.000, 0.500)  -0.01
Pd (0.000, 0.500, 0.500)  0.44
Pd (0.500, 0.500, 0.000)  0.44
Pd (0.500, 0.000, 0.500)  0.44
O (0.304, 0.832, 0.136)  0.09
O (0.696, 0.168, 0.864)  0.09
O (0.696, 0.832, 0.528)  0.09
O (0.864, 0.696, 0.168)  0.09
O (0.832, 0.136, 0.304)  0.09
O (0.168, 0.472, 0.304)  0.09
O (0.472, 0.304, 0.168)  0.09
O (0.168, 0.864, 0.696)  0.09
O (0.304, 0.168, 0.472)  0.09
O (0.136, 0.304, 0.832)  0.09
O (0.832, 0.528, 0.696)  0.09
O (0.528, 0.696, 0.832)  0.09

An optimized crystal structure of La2ScPdO6, computed with PBE.

Summary:
Formation energy without anion corrections in eV per atom: -2.6764
Total moment in μB per atom: 0.100
Theoretical density in g cm⁻³: 6.388
DFT total energy in eV/atom: -7.79

a b c (Å): 5.815 5.891 5.622
angles (deg): 61.44 61.04 58.10
Last column: magnetic moment on the atom in μB.
Element x y z (fractional)
La (0.581, 0.544, 0.305)  0.00
La (0.051, 0.088, 0.798)  0.00
Sc (0.816, 0.816, 0.552)  0.04
Pd (0.316, 0.316, 0.052)  0.55
O (0.629, 0.136, 0.234)  0.02
O (0.161, 0.941, 0.317)  0.14
O (0.003, 0.498, 0.365)  0.02
O (0.472, 0.692, 0.786)  0.14
O (0.630, 0.135, 0.738)  0.02
O (0.004, 0.497, 0.869)  0.02

An optimized crystal structure of LaSc2PdO, computed with PBE.

Summary:
Formation energy without anion corrections in eV per atom: -1.4212
Total moment in μB per atom: 0.001
Theoretical density in g cm⁻³: 6.024
DFT total energy in eV/atom: -6.97

a b c (Å): 4.358 4.358 5.097
angles (deg): 90.00 90.00 90.00
Element x y z (fractional)
Sc (0.000, 0.500, 0.000)
Sc (0.500, 0.000, 0.000)
O (0.000, 0.000, 0.000)
Pd (0.500, 0.500, 0.500)
La (0.000, 0.000, 0.500)

An optimized crystal structure of LaPdSe2O6, computed with PBE.

Summary:
Formation energy without anion corrections in eV per atom: -1.2905
Total moment in μB per atom: 0.100
Theoretical density in g cm⁻³: 5.199
DFT total energy in eV/atom: -5.97

a b c (Å): 5.376 5.376 7.087
angles (deg): 67.71 67.71 60.00
Last column: magnetic moment on the atom in μB.
Element x y z (fractional)
La (0.000, 0.000, 0.000)  0.01
Pd (0.500, 0.500, 0.500)  0.78
Se (0.784, 0.784, 0.647)  0.00
Se (0.216, 0.216, 0.353)  0.00
O (0.040, 0.458, 0.766)  0.03
O (0.736, 0.040, 0.766)  0.03
O (0.542, 0.264, 0.234)  0.03
O (0.960, 0.542, 0.234)  0.03
O (0.264, 0.960, 0.234)  0.03
O (0.458, 0.736, 0.766)  0.03

An optimized crystal structure of LaPdSe2O8, computed with PBE.

Summary:
Formation energy without anion corrections in eV per atom: -1.0929
Total moment in μB per atom: 0.083
Theoretical density in g cm⁻³: 4.485
DFT total energy in eV/atom: -5.82

a b c (Å): 5.604 5.604 7.233
angles (deg): 90.00 90.00 120.00
Last column: magnetic moment on the atom in μB.
Element x y z (fractional)
La (0.000, 0.000, 0.500)  0.00
Pd (0.000, 0.000, 0.000)  0.84
Se (0.333, 0.667, 0.702)  0.01
Se (0.667, 0.333, 0.298)  0.01
O (0.166, 0.332, 0.772)  0.02
O (0.166, 0.834, 0.772)  0.02
O (0.668, 0.834, 0.772)  0.02
O (0.332, 0.166, 0.228)  0.02
O (0.667, 0.333, 0.531)  0.01
O (0.333, 0.667, 0.469)  0.01
O (0.834, 0.668, 0.228)  0.02
O (0.834, 0.166, 0.228)  0.02

An optimized crystal structure of LaSm2PdO5, computed with PBE.

Summary:
Formation energy without anion corrections in eV per atom: -2.5979
Total moment in μB per atom: 0.111
Theoretical density in g cm⁻³: 8.009
DFT total energy in eV/atom: -7.53

a b c (Å): 6.003 6.576 6.576
angles (deg): 90.00 90.00 90.00
Last column: magnetic moment on the atom in μB.
Element x y z (fractional)
La (0.000, 0.500, 0.500)  -0.01
La (0.000, 0.000, 0.000)  -0.01
Sm (0.500, 0.666, 0.166)  0.04
Sm (0.500, 0.166, 0.334)  0.04
Sm (0.500, 0.834, 0.666)  0.04
Sm (0.500, 0.334, 0.834)  0.04
Pd (0.000, 0.000, 0.500)  0.64
Pd (0.000, 0.500, 0.000)  0.64
O (0.500, 0.500, 0.500)  0.00
O (0.500, 0.000, 0.000)  0.00
O (0.247, 0.162, 0.662)  0.07
O (0.247, 0.838, 0.338)  0.07
O (0.247, 0.338, 0.162)  0.07
O (0.247, 0.662, 0.838)  0.07
O (0.753, 0.162, 0.662)  0.07
O (0.753, 0.662, 0.838)  0.07
O (0.753, 0.838, 0.338)  0.07
O (0.753, 0.338, 0.162)  0.07

An optimized crystal structure of La2SmPdO5, computed with PBE.

Summary:
Formation energy without anion corrections in eV per atom: -2.4886
Total moment in μB per atom: 0.111
Theoretical density in g cm⁻³: 7.596
DFT total energy in eV/atom: -7.44

a b c (Å): 5.945 6.723 6.723
angles (deg): 90.00 90.00 90.00
Last column: magnetic moment on the atom in μB.
Element x y z (fractional)
La (0.500, 0.663, 0.163)  0.04
La (0.500, 0.163, 0.337)  0.04
La (0.500, 0.837, 0.663)  0.04
La (0.500, 0.337, 0.837)  0.04
Sm (0.000, 0.500, 0.500)  -0.01
Sm (0.000, 0.000, 0.000)  -0.01
Pd (0.000, 0.000, 0.500)  0.64
Pd (0.000, 0.500, 0.000)  0.64
O (0.500, 0.500, 0.500)  0.00
O (0.500, 0.000, 0.000)  0.00
O (0.232, 0.171, 0.671)  0.08
O (0.232, 0.829, 0.329)  0.08
O (0.232, 0.329, 0.171)  0.08
O (0.232, 0.671, 0.829)  0.08
O (0.768, 0.171, 0.671)  0.08
O (0.768, 0.671, 0.829)  0.08
O (0.768, 0.829, 0.329)  0.08
O (0.768, 0.329, 0.171)  0.08

An optimized crystal structure of SrLaPd2O, computed with PBE.

Summary:
Formation energy without anion corrections in eV per atom: 0.8909
Total moment in μB per atom: 0.171
Theoretical density in g cm⁻³: 4.241
DFT total energy in eV/atom: -3.50

a b c (Å): 4.873 7.507 4.873
angles (deg): 90.00 90.00 90.00
Last column: magnetic moment on the atom in μB.
Element x y z (fractional)
Sr (0.000, 0.000, 0.000)  0.06
O (0.500, 0.500, 0.500)  0.14
Pd (0.000, 0.000, 0.500)  -0.01
Pd (0.500, 0.000, 0.000)  0.05
La (0.000, 0.500, 0.000)  0.21

An optimized crystal structure of SrLa2PdO5, computed with PBE.

Summary:
Formation energy without anion corrections in eV per atom: -2.6105
Total moment in μB per atom: 0.000
Theoretical density in g cm⁻³: 6.564
DFT total energy in eV/atom: -7.22

a b c (Å): 5.923 6.866 6.866
angles (deg): 90.00 90.00 90.00
Element x y z (fractional)
Sr (0.000, 0.500, 0.500)
Sr (0.000, 0.000, 0.000)
La (0.500, 0.675, 0.175)
La (0.500, 0.175, 0.325)
La (0.500, 0.825, 0.675)
La (0.500, 0.325, 0.825)
Pd (0.000, 0.000, 0.500)
Pd (0.000, 0.500, 0.000)
O (0.500, 0.500, 0.500)
O (0.500, 0.000, 0.000)
O (0.242, 0.146, 0.646)
O (0.242, 0.854, 0.354)
O (0.242, 0.354, 0.146)
O (0.242, 0.646, 0.854)
O (0.758, 0.146, 0.646)
O (0.758, 0.646, 0.854)
O (0.758, 0.854, 0.354)
O (0.758, 0.354, 0.146)

An optimized crystal structure of Sr2LaPdO5, computed with PBE.

Summary:
Formation energy without anion corrections in eV per atom: -1.9676
Total moment in μB per atom: 0.111
Theoretical density in g cm⁻³: 6.093
DFT total energy in eV/atom: -6.22

a b c (Å): 6.632 6.632 7.776
angles (deg): 115.24 115.24 90.00
Last column: magnetic moment on the atom in μB.
Element x y z (fractional)
Sr (0.166, 0.334, 0.000)  0.01
Sr (0.666, 0.166, 0.000)  0.01
Sr (0.334, 0.834, 0.000)  0.01
Sr (0.834, 0.666, 0.000)  0.01
La (0.250, 0.250, 0.500)  0.01
La (0.750, 0.750, 0.500)  0.01
Pd (0.250, 0.750, 0.500)  0.48
Pd (0.750, 0.250, 0.500)  0.48
O (0.982, 0.482, 0.280)  0.10
O (0.702, 0.202, 0.720)  0.10
O (0.018, 0.518, 0.720)  0.10
O (0.202, 0.018, 0.720)  0.10
O (0.518, 0.702, 0.720)  0.10
O (0.798, 0.982, 0.280)  0.10
O (0.482, 0.298, 0.280)  0.10
O (0.298, 0.798, 0.280)  0.10
O (0.500, 0.500, 0.000)  -0.01
O (0.000, 0.000, 0.000)  -0.01